No. 1
A plane-wave DFT calculation with PBE-GGA was carried out for a relaxed structure of Tb2Nd3Th2.

The value obtained for the density of states at the Fermi level is 10.2 states/eV/f.u. Its formation enthalpy at 0 K is 4.474 kcal/mol of atoms.

It has space group Cmmm (No. 65), with a = 5.618 Å, b = 24.319 Å, c = 3.456 Å, α = 90.00°, β = 90.00° and γ = 90.00°. The asymmetric unit holds Tb at (0.000, 0.075, 0.000), Nd at (0.000, 0.210, 0.500), Nd at (0.000, 0.500, 0.500) and Th at (0.000, 0.359, 0.500).



No. 2
A plane-wave DFT calculation with PBE-GGA was carried out for a relaxed structure of TbNd4Th3.

The value obtained for the density of states at the Fermi level is 12.0 states/eV/f.u. Its formation enthalpy at 0 K is 0.856 kcal/mol of atoms.

It has space group Pmmn (No. 59, origin choice 2), with a = 5.099 Å, b = 10.221 Å, c = 10.333 Å, α = 90.00°, β = 90.00° and γ = 90.00°. The asymmetric unit holds Tb at (0.250, 0.250, 0.118), Nd at (0.250, 0.250, 0.638), Nd at (0.250, 0.501, 0.366), Nd at (0.250, 0.750, 0.631), Th at (0.250, 0.002, 0.882) and Th at (0.250, 0.750, 0.119).



No. 3
A plane-wave DFT calculation with PBE-GGA was carried out for a relaxed structure of Tb4Nd3Th.

The value obtained for the density of states at the Fermi level is 14.7 states/eV/f.u. Its formation enthalpy at 0 K is 1.153 kcal/mol of atoms. The calculation puts the energy above the most stable polymorph in this dataset at 0.0 meV per atom.

It has space group Pmn2_1 (No. 31), with a = 11.684 Å, b = 7.276 Å, c = 6.314 Å, α = 90.00°, β = 90.00° and γ = 90.00°. The asymmetric unit holds Tb at (0.000, 0.123, 0.000), Tb at (0.000, 0.871, 0.503), Tb at (0.248, 0.874, 0.840), Nd at (0.000, 0.379, 0.499), Nd at (0.248, 0.377, 0.828) and Th at (0.000, 0.628, 0.004).



No. 4
A plane-wave DFT calculation with PBE-GGA was carried out for a relaxed structure of Tb5NdTh.

The value obtained for the density of states at the Fermi level is 10.1 states/eV/f.u. Its formation enthalpy at 0 K is 5.077 kcal/mol of atoms.

It has space group Imma (No. 74), with a = 10.369 Å, b = 10.985 Å, c = 8.566 Å, α = 90.00°, β = 90.00° and γ = 90.00°. The asymmetric unit holds Tb at (0.000, 0.044, 0.245), Tb at (0.000, 0.250, 0.537), Tb at (0.245, 0.000, 0.500), Nd at (0.000, 0.250, 0.950) and Th at (0.250, 0.250, 0.250).



No. 5
A plane-wave DFT calculation with PBE-GGA was carried out for a relaxed structure of Tb3NdTh2.

The value obtained for the density of states at the Fermi level is 9.5 states/eV/f.u. Its formation enthalpy at 0 K is 0.573 kcal/mol of atoms. The calculation puts the energy above the most stable polymorph in this dataset at 0.0 meV per atom.

It has space group P-3m1 (No. 164), with a = 7.1821 Å, b = 7.1821 Å, c = 8.7721 Å, α = 90.00°, β = 90.00° and γ = 120.00°. The asymmetric unit holds Tb at (0.1658, 0.3317, 0.1759), Nd at (0.3333, 0.6667, 0.8272), Th at (0.0000, 0.0000, 0.5000) and Th at (0.0000, 0.5000, 0.5000).



No. 6
A plane-wave DFT calculation with PBE-GGA was carried out for a relaxed structure of Tb7NdTh2.

The value obtained for the density of states at the Fermi level is 14.3 states/eV/f.u. Its formation enthalpy at 0 K is 17.397 kcal/mol of atoms. The calculation puts the energy above the most stable polymorph in this dataset at 327.5 meV per atom.

It has space group Cmmm (No. 65), with a = 8.737 Å, b = 16.652 Å, c = 5.554 Å, α = 90.00°, β = 90.00° and γ = 90.00°. The asymmetric unit holds Tb at (0.000, 0.000, 0.000), Tb at (0.000, 0.288, 0.500), Tb at (0.177, 0.388, 0.000), Nd at (0.000, 0.500, 0.500) and Th at (0.000, 0.204, 0.000).